[1]
Material: Ca2CrCo
Method: DFT, PBE
State: relaxed

Structure (POSCAR):
```
Ca2CrCo
1.0
-1.630 1.834 8.218
1.630 -1.834 8.218
1.630 1.834 -8.218
Ca Cr Co
2 1 1
Cartesian
0.000 0.000 2.500
0.000 0.000 13.936
0.000 1.834 0.000
1.630 0.000 0.000
```

The space group is Immm. As for the polymorph energy (0 for the lowest one): 87.7 meV/atom. The value obtained for the raw total energy is -4.71 eV per atom. The energy relative to the elements comes out at 0.47 eV/atom. As for the crystal system: orthorhombic. The magnetic moment is 0.62 μB/atom.

=====

[2]
Material: K3RuCl
Method: DFT, PBE
State: relaxed

Structure (POSCAR):
```
K3RuCl
1.0
5.922 0.000 0.000
0.000 5.922 0.000
0.000 0.000 5.922
K Ru Cl
3 1 1
Cartesian
0.000 0.000 2.961
0.000 2.961 0.000
2.961 0.000 0.000
2.961 2.961 2.961
0.000 0.000 0.000
```

The space group is Pm-3m. As for the polymorph energy (0 for the lowest one): 0.0 meV/atom. The value obtained for the raw total energy is -2.69 eV per atom. As for the crystal system: cubic. The magnetic moment is 0.40 μB/atom. The calculation puts the raw formation energy at 188.5 meV per atom.

=====

[3]
Material: La2AgTe2O2
Method: DFT, PBE
State: relaxed

Structure (POSCAR):
```
La2AgTe2O2
1.0
4.079 0.000 0.000
-2.040 3.533 0.000
0.000 0.000 13.053
La Ag Te O
2 1 2 2
Cartesian
0.000 2.355 1.535
2.040 1.178 11.518
0.000 0.000 6.526
0.000 0.000 3.897
0.000 0.000 9.155
0.000 2.355 12.137
2.040 1.178 0.916
```

The space group is P-3m1. The value obtained for the raw total energy is -6.07 eV per atom. As for the crystal system: trigonal. The magnetic moment is 0.00 μB/atom. The calculation puts the raw formation energy at -1943.9 meV per atom.

=====

[4]
Material: NdUNi4
Method: DFT, PBE
State: relaxed

Structure (POSCAR):
```
NdUNi4
1.0
0.000 3.597 3.597
3.597 0.000 3.597
3.597 3.597 0.000
Nd U Ni
1 1 4
Cartesian
0.000 0.000 0.000
1.799 1.799 1.799
4.488 2.707 2.707
2.707 4.488 2.707
2.707 2.707 4.488
4.488 4.488 4.488
```

The space group is F-43m. The value obtained for the raw total energy is -6.70 eV per atom. The energy relative to the elements comes out at -0.17 eV/atom. As for the crystal system: cubic. The magnetic moment is 0.40 μB/atom.

=====

[5]
Material: NaCdCu3
Method: DFT, PBE
State: relaxed

Structure (POSCAR):
```
NaCdCu3
1.0
4.921 0.000 0.000
0.000 4.921 0.000
0.000 0.000 4.921
Na Cd Cu
1 1 3
Cartesian
0.000 0.000 0.000
2.461 2.461 2.461
0.000 2.461 2.461
2.461 0.000 2.461
2.461 2.461 0.000
```

The space group is Pm-3m. As for the polymorph energy (0 for the lowest one): 0.0 meV/atom. The value obtained for the raw total energy is -2.27 eV per atom. The energy relative to the elements comes out at 0.63 eV/atom. As for the crystal system: cubic. The magnetic moment is 0.00 μB/atom.

=====

[6]
Material: TaCr2Hg
Method: DFT, PBE
State: relaxed

Structure (POSCAR):
```
TaCr2Hg
1.0
1.589 -2.294 0.000
1.589 2.294 0.000
0.000 0.000 8.719
Ta Cr Hg
1 2 1
Cartesian
0.000 0.000 0.000
0.000 0.000 3.749
1.589 0.000 2.084
1.589 0.000 6.126
```

The space group is Cmm2. The value obtained for the raw total energy is -7.42 eV per atom. The energy relative to the elements comes out at 0.43 eV/atom. As for the crystal system: orthorhombic. The magnetic moment is 0.07 μB/atom.

=====

[7]
Material: YTmCuTc
Method: DFT, PBE
State: relaxed

Structure (POSCAR):
```
YTmCuTc
1.0
0.000 3.426 3.426
3.426 0.000 3.426
3.426 3.426 0.000
Y Tm Cu Tc
1 1 1 1
Cartesian
0.000 0.000 0.000
3.426 3.426 3.426
5.139 5.139 5.139
1.713 1.713 1.713
```

The space group is F-43m. The value obtained for the raw total energy is -6.46 eV per atom. The energy relative to the elements comes out at -0.11 eV/atom. As for the crystal system: cubic. The magnetic moment is 0.00 μB/atom.

=====

[8]
Material: TbPm2Sm2Ho2
Method: DFT, PBE
State: relaxed

Structure (POSCAR):
```
TbPm2Sm2Ho2
1.0
2.863 1.653 8.165
-2.863 1.653 8.165
0.000 -3.306 8.165
Tb Pm Sm Ho
1 2 2 2
Cartesian
0.000 0.000 0.000
0.000 0.000 3.405
0.000 0.000 21.089
0.000 0.000 6.899
0.000 0.000 17.595
0.000 0.000 10.463
0.000 0.000 14.031
```

The space group is R-3m. The value obtained for the raw total energy is -4.54 eV per atom. The energy relative to the elements comes out at 0.14 eV/atom. As for the crystal system: trigonal. The magnetic moment is 0.00 μB/atom.